No. 1
A relaxed structure of RePbClO4. Source: the Alexandria database, functional GGA-PBE.

Its raw formation energy is -1495.9 meV per atom. The offset from the most stable computed form is 0.013 eV/atom.

The space group is Pmn2_1 (No. 31) and the conventional cell measures 5.882, 9.466 and 4.873 Å, with angles of 90.00, 90.00 and 90.00 degrees. Symmetry generates all atoms from Re at (0.000, 0.125, 0.000), Pb at (0.000, 0.671, 0.055), Cl at (0.000, 0.471, 0.474), O at (0.000, 0.129, 0.356), O at (0.000, 0.948, 0.894) and O at (0.246, 0.213, 0.885).

***

No. 2
A relaxed structure of RePbClO4. Source: the Alexandria database, functional GGA-PBE.

Its raw formation energy is -1509.2 meV per atom. The offset from the most stable computed form is 0.000 eV/atom.

The space group is C2/m (No. 12) and the conventional cell measures 11.187, 7.960 and 7.557 Å, with angles of 90.00, 107.81 and 90.00 degrees. Symmetry generates all atoms from Re at (0.139, 0.000, 0.266), Pb at (0.196, 0.500, 0.127), Cl at (0.015, 0.500, 0.769), O at (0.023, 0.000, 0.788), O at (0.188, 0.179, 0.169) and O at (0.206, 0.000, 0.508).